Entry 1:
This record from the Alexandria database describes a relaxed structure of HoAlTc. The functional is PBE-GGA.

Summary:
Symmetry: P4_12_12
ΔE_f in meV per atom: 344
Electronic total energy in eV per atom: -5.89
E above lowest polymorph in meV per atom: 789

Cell: 5.7241 5.7241 8.6471 Å, 90.00 90.00 90.00°
Closest atoms and distances in Å follow each position.
Element x y z (fractional)
Ho (0.7263, 0.7263, 0.0000)  3 Tc 2.73-2.88, 1 Al 2.96
Al (0.8601, 0.1399, 0.7500)  3 Tc 2.40-2.49
Tc (0.0636, 0.0636, 0.0000)  3 Al 2.40-2.49
Ho (0.2737, 0.2737, 0.5000)  3 Tc 2.73-2.88, 1 Al 2.96
Ho (0.2263, 0.7737, 0.7500)  3 Tc 2.73-2.88, 1 Al 2.96
Tc (0.9364, 0.9364, 0.5000)  3 Al 2.40-2.49
Al (0.3601, 0.3601, 0.0000)  3 Tc 2.40-2.49
Tc (0.5636, 0.4364, 0.7500)  3 Al 2.40-2.49
Ho (0.7737, 0.2263, 0.2500)  3 Tc 2.73-2.88, 1 Al 2.96
Al (0.6399, 0.6399, 0.5000)  3 Tc 2.40-2.49
Tc (0.4364, 0.5636, 0.2500)  3 Al 2.40-2.49
Al (0.1399, 0.8601, 0.2500)  3 Tc 2.40-2.49

Entry 2:
This record from the Alexandria database describes a relaxed structure of TiInRu3. The functional is PBE-GGA.

Summary:
Symmetry: Pm-3m
ΔE_f in meV per atom: 1857
Electronic total energy in eV per atom: -5.83
E above lowest polymorph in meV per atom: 968

Cell: 4.7436 4.7436 4.7436 Å, 90.00 90.00 90.00°
Closest atoms and distances in Å follow each position.
Element x y z (fractional)
In (0.0000, 0.0000, 0.0000)  6 Ru 2.37
Ru (0.0000, 0.0000, 0.5000)  2 In 2.37
Ru (0.5000, 0.0000, 0.0000)  2 In 2.37
Ru (0.0000, 0.5000, 0.0000)  2 In 2.37
Ti (0.5000, 0.5000, 0.5000)  12 Ru 3.35

Entry 3:
This record from the Alexandria database describes a relaxed structure of SmGdTh2. The functional is PBE-GGA.

Summary:
Symmetry: P4/mmm
ΔE_f in meV per atom: 63
Electronic total energy in eV per atom: -8.35
E above lowest polymorph in meV per atom: 0

Cell: 5.1454 5.0247 5.0247 Å, 90.00 90.00 90.00°
Closest atoms and distances in Å follow each position.
Element x y z (fractional)
Sm (0.5000, 0.0000, 0.0000)  4 Gd 3.55, 8 Th 3.60
Th (0.0000, 0.0000, 0.5000)  4 Th 3.55, 4 Gd 3.60, 4 Sm 3.60
Th (0.0000, 0.5000, 0.0000)  4 Th 3.55, 4 Gd 3.60, 4 Sm 3.60
Gd (0.5000, 0.5000, 0.5000)  4 Sm 3.55, 8 Th 3.60

Entry 4:
This record from the Alexandria database describes a relaxed structure of Pu4BiSbO. The functional is PBE-GGA.

Summary:
Symmetry: Cmcm
Raw formation energy in kJ/mol of formula units: -637
Electronic total energy in eV per atom: -10.98

Cell: 6.6203 6.6250 9.0071 Å, 90.00 111.56 90.00°
Closest atoms and distances in Å follow each position.
Element x y z (fractional)
Pu (0.0000, 0.0000, 0.5000)  2 O 2.34
Sb (0.6118, 0.7500, 0.2237)  9 Pu 3.20-3.36
O (0.7484, 0.2500, 0.4968)  4 Pu 2.34
Sb (0.3882, 0.2500, 0.7763)  9 Pu 3.20-3.36
Bi (0.8925, 0.7500, 0.7849)  9 Pu 3.23-3.34
Pu (0.0000, 0.5000, 0.5000)  2 O 2.34
Pu (0.0855, 0.7500, 0.1710)  1 O 2.78
Pu (0.9145, 0.2500, 0.8290)  1 O 2.78
Bi (0.1075, 0.2500, 0.2151)  9 Pu 3.23-3.34
Pu (0.5793, 0.2500, 0.1585)  1 O 2.83
Pu (0.5000, 0.0000, 0.5000)  2 O 2.34
O (0.2516, 0.7500, 0.5032)  4 Pu 2.34
Pu (0.5000, 0.5000, 0.5000)  2 O 2.34
Pu (0.4207, 0.7500, 0.8415)  1 O 2.83

Entry 5:
This record from the Alexandria database describes a relaxed structure of HgB. The functional is PBE-GGA.

Summary:
Symmetry: I4/mmm
ΔE_f in meV per atom: 479
Electronic total energy in eV per atom: -3.01
E above lowest polymorph in meV per atom: 0

Cell: 10.1864 10.1864 3.1838 Å, 90.00 90.00 90.00°
Closest atoms and distances in Å follow each position.
Element x y z (fractional)
Hg (0.0000, 0.2295, 0.5000)  2 B 2.39
B (0.2346, 0.7654, 0.5000)  2 B 1.65
B (0.2654, 0.7346, 0.0000)  2 B 1.65
Hg (0.5000, 0.7295, 0.0000)  2 B 2.39
Hg (0.0000, 0.7705, 0.5000)  2 B 2.39
B (0.2346, 0.2346, 0.5000)  2 B 1.65
Hg (0.7705, 0.0000, 0.5000)  2 B 2.39
Hg (0.2705, 0.5000, 0.0000)  2 B 2.39
Hg (0.7295, 0.5000, 0.0000)  2 B 2.39
Hg (0.5000, 0.2705, 0.0000)  2 B 2.39
Hg (0.2295, 0.0000, 0.5000)  2 B 2.39
B (0.2654, 0.2654, 0.0000)  2 B 1.65
B (0.7654, 0.2346, 0.5000)  2 B 1.65
B (0.7654, 0.7654, 0.5000)  2 B 1.65
B (0.7346, 0.2654, 0.0000)  2 B 1.65
B (0.7346, 0.7346, 0.0000)  2 B 1.65

Entry 6:
This record from the Alexandria database describes a relaxed structure of Sr2GaBPd6. The functional is PBE-GGA.

Summary:
Symmetry: C2/m
ΔE_f in meV per atom: -503
Electronic total energy in eV per atom: -4.93

Cell: 6.5013 6.5033 6.4974 Å, 59.96 59.97 90.08°
Closest atoms and distances in Å follow each position.
Element x y z (fractional)
Pd (0.7294, 0.7292, 0.9999)  1 B 2.11
Pd (0.2707, 0.2707, 0.4587)  1 B 2.10
Ga (0.0000, 0.0000, 0.0000)  6 Pd 2.48-2.49
B (0.5000, 0.5000, 0.0000)  6 Pd 2.10-2.11
Sr (0.2500, 0.7500, 0.5000)  12 Pd 3.25-3.26
Pd (0.7292, 0.2707, 0.0000)  1 B 2.11
Pd (0.2706, 0.2708, 0.0001)  1 B 2.11
Pd (0.2708, 0.7293, 0.0000)  1 B 2.11
Pd (0.7293, 0.7293, 0.5413)  1 B 2.10
Sr (0.7500, 0.2500, 0.5000)  12 Pd 3.25-3.26

Entry 7:
This record from the Alexandria database describes a relaxed structure of PPbCl4. The functional is PBE-GGA.

Summary:
Symmetry: F-43m
Raw formation energy in kJ/mol of formula units: 315
Electronic total energy in eV per atom: -2.21

Cell: 6.0230 6.0230 6.0230 Å, 60.00 60.00 60.00°
Closest atoms and distances in Å follow each position.
Element x y z (fractional)
Cl (0.3745, 0.8764, 0.3745)  6 Cl 3.00-3.02
P (0.7500, 0.7500, 0.7500)  12 Cl 3.53, 4 Pb 3.69
Pb (0.0000, 0.0000, 0.0000)  12 Cl 3.53, 4 P 3.69
Cl (0.3745, 0.3745, 0.3745)  6 Cl 3.00-3.02
Cl (0.3745, 0.3745, 0.8764)  6 Cl 3.00-3.02
Cl (0.8764, 0.3745, 0.3745)  6 Cl 3.00-3.02

Entry 8:
This record from the Alexandria database describes a relaxed structure of Ba2NaHgRu. The functional is PBE-GGA.

Summary:
Symmetry: P4/mmm
ΔE_f in meV per atom: 122
Electronic total energy in eV per atom: -2.83

Cell: 5.8632 5.4445 5.8632 Å, 90.00 90.00 90.00°
Closest atoms and distances in Å follow each position.
Element x y z (fractional)
Na (0.5000, 0.5000, 0.5000)  8 Ba 4.00, 4 Hg 4.15
Ba (0.0000, 0.0000, 0.5000)  2 Ru 2.93
Ba (0.5000, 0.0000, 0.0000)  2 Ru 2.93
Ru (0.0000, 0.0000, 0.0000)  2 Hg 2.72, 4 Ba 2.93
Hg (0.0000, 0.5000, 0.0000)  2 Ru 2.72

Entry 9:
This record from the Alexandria database describes a relaxed structure of K2CoPI. The functional is PBE-GGA.

Summary:
Symmetry: P4/mmm
Raw formation energy in kJ/mol of formula units: 355
Electronic total energy in eV per atom: -2.52

Cell: 6.6045 5.4182 6.6045 Å, 90.00 90.00 90.00°
Closest atoms and distances in Å follow each position.
Element x y z (fractional)
Co (0.5000, 0.5000, 0.5000)  8 K 4.27, 4 P 4.67
P (0.0000, 0.5000, 0.0000)  2 I 2.71
K (0.0000, 0.0000, 0.5000)  2 I 3.30
I (0.0000, 0.0000, 0.0000)  2 P 2.71
K (0.5000, 0.0000, 0.0000)  2 I 3.30

Entry 10:
This record from the Alexandria database describes a relaxed structure of Cu2Ir. The functional is PBE-GGA.

Summary:
Symmetry: Cm
ΔE_f in meV per atom: 81
Electronic total energy in eV per atom: -5.60
E above lowest polymorph in meV per atom: 29

Cell: 2.6656 5.0419 6.2769 Å, 74.94 90.00 105.33°
Closest atoms and distances in Å follow each position.
Element x y z (fractional)
Cu (0.3865, 0.7730, 0.7232)  8 Cu 2.59-2.67, 4 Ir 2.64-2.65
Cu (0.6681, 0.3361, 0.6696)  9 Cu 2.61-2.68, 3 Ir 2.61-2.63
Ir (0.7178, 0.4356, 0.0582)  8 Cu 2.61-2.69, 4 Ir 2.62-2.67
Cu (0.3402, 0.6805, 0.3309)  7 Cu 2.62-2.68, 5 Ir 2.62-2.69
Ir (0.0580, 0.1160, 0.3941)  4 Ir 2.62-2.67, 8 Cu 2.62-2.76
Cu (0.9960, 0.9921, 0.9906)  8 Cu 2.59-2.67, 4 Ir 2.62-2.76

Entry 11:
This record from the Alexandria database describes a relaxed structure of Pm2Pr3Y4. The functional is PBE-GGA.

Summary:
Symmetry: C2/c
ΔE_f in meV per atom: 92
Electronic total energy in eV per atom: -5.43
E above lowest polymorph in meV per atom: 0

Cell: 6.1479 11.3900 11.3900 Å, 62.96 63.91 63.91°
Closest atoms and distances in Å follow each position.
Element x y z (fractional)
Pr (0.7517, 0.0494, 0.2835)  8 Y 3.46-3.70, 2 Pm 3.50-3.65
Y (0.5812, 0.4065, 0.1529)  5 Pr 3.46-3.68, 2 Y 3.48-3.78, 3 Pm 3.49-3.60
Pr (0.7483, 0.7165, 0.9506)  8 Y 3.46-3.70, 2 Pm 3.50-3.65
Pm (0.4189, 0.2554, 0.5155)  4 Y 3.46-3.60, 5 Pr 3.48-3.71, 1 Pm 3.82
Pr (0.2500, 0.6149, 0.3851)  6 Pm 3.48-3.71, 4 Y 3.56-3.67
Pm (0.0811, 0.4845, 0.7446)  4 Y 3.46-3.60, 5 Pr 3.48-3.71, 1 Pm 3.82
Y (0.5798, 0.0739, 0.8203)  5 Pr 3.46-3.70, 1 Pm 3.46, 4 Y 3.47-3.78
Y (0.0798, 0.8203, 0.0739)  5 Pr 3.46-3.70, 1 Pm 3.46, 4 Y 3.47-3.78
Y (0.9188, 0.8471, 0.5935)  5 Pr 3.46-3.68, 2 Y 3.48-3.78, 3 Pm 3.49-3.60
Pr (0.2517, 0.2835, 0.0494)  8 Y 3.46-3.70, 2 Pm 3.50-3.65
Y (0.0812, 0.1529, 0.4065)  5 Pr 3.46-3.68, 2 Y 3.48-3.78, 3 Pm 3.49-3.60
Y (0.4188, 0.5935, 0.8471)  5 Pr 3.46-3.68, 2 Y 3.48-3.78, 3 Pm 3.49-3.60
Pm (0.9189, 0.5155, 0.2554)  4 Y 3.46-3.60, 5 Pr 3.48-3.71, 1 Pm 3.82
Pr (0.2483, 0.9506, 0.7165)  8 Y 3.46-3.70, 2 Pm 3.50-3.65
Pm (0.5811, 0.7446, 0.4845)  4 Y 3.46-3.60, 5 Pr 3.48-3.71, 1 Pm 3.82
Y (0.4202, 0.9261, 0.1797)  5 Pr 3.46-3.70, 1 Pm 3.46, 4 Y 3.47-3.78
Pr (0.7500, 0.3851, 0.6149)  6 Pm 3.48-3.71, 4 Y 3.56-3.67
Y (0.9202, 0.1797, 0.9261)  5 Pr 3.46-3.70, 1 Pm 3.46, 4 Y 3.47-3.78

Entry 12:
This record from the Alexandria database describes a relaxed structure of TaB2O2. The functional is PBE-GGA.

Summary:
Symmetry: I4_1/amd
Raw formation energy in kJ/mol of formula units: -393
Electronic total energy in eV per atom: -7.84
E above lowest polymorph in meV per atom: 0

Cell: 9.1696 9.1696 9.1696 Å, 137.90 137.90 61.06°
Closest atoms and distances in Å follow each position.
Element x y z (fractional)
B (0.0756, 0.8484, 0.7728)  1 O 1.30
O (0.9993, 0.6995, 0.7003)  1 B 1.30
O (0.7507, 0.5505, 0.7997)  1 B 1.30
Ta (0.8750, 0.6250, 0.7500)  2 O 1.99
Ta (0.3750, 0.1250, 0.2500)  2 O 1.99
O (0.9993, 0.2990, 0.2997)  1 B 1.30
B (0.0528, 0.3256, 0.7272)  1 O 1.30
O (0.0490, 0.2493, 0.7997)  1 B 1.30
Ta (0.8750, 0.1250, 0.2500)  2 O 1.99
O (0.7010, 0.0007, 0.7003)  1 B 1.30
Ta (0.8750, 0.1250, 0.7500)  2 O 1.99
O (0.3005, 0.0007, 0.2997)  1 B 1.30
B (0.1516, 0.9244, 0.2272)  1 O 1.30
O (0.7507, 0.9510, 0.2003)  1 B 1.30
B (0.6972, 0.9244, 0.7728)  1 O 1.30
O (0.4495, 0.2493, 0.2003)  1 B 1.30
B (0.6744, 0.9472, 0.2728)  1 O 1.30
B (0.6744, 0.4016, 0.7272)  1 O 1.30
B (0.5984, 0.3256, 0.2728)  1 O 1.30
B (0.0756, 0.3028, 0.2272)  1 O 1.30

Fermi-level density of states, record by record: 12.35; 7.29; 6.31; 79.14; 3.46; 6.58; 3.57; 4.02; 10.31; 5.94; 30.15; 8.32 states/eV per cell